4
Lattice="2.7776 0.0258 0.0000 -0.4613 2.7391 0.0000 0.0000 0.0000 10.0310" Properties=species:S:1:pos:R:3 comment="CaCdW2, optimized geometry, DFT PBE" dos_at_fermi_per_ev_atom=0.46 spacegroup="Cmmm, No. 65" delta_e_f_ev_per_atom=0.796 magnetic_moment_mub_per_fu=0.0 pbc="T T T"
W 0.0000 0.0000 9.8909
W 0.0000 0.0000 5.1556
Ca 1.1581 1.3825 2.5078
Cd 1.1581 1.3825 7.5233

4
Lattice="3.6566 0.0000 0.0000 0.0000 3.6566 0.0000 0.0000 0.0000 6.6485" Properties=species:S:1:pos:R:3 comment="CaCdW2, optimized geometry, DFT PBE" dos_at_fermi_per_ev_atom=0.88 spacegroup="P4/mmm, No. 123" delta_e_f_ev_per_atom=1.044 magnetic_moment_mub_per_fu=0.0 pbc="T T T"
Cd 1.8283 1.8283 4.9863
W 0.0000 0.0000 6.1500
W 0.0000 0.0000 3.8227
Ca 1.8283 1.8283 1.6621

4
Lattice="3.1977 0.0000 0.0000 0.0000 4.6883 0.0000 0.0000 0.0000 5.1460" Properties=species:S:1:pos:R:3 comment="CaCdW2, optimized geometry, DFT PBE" dos_at_fermi_per_ev_atom=0.65 spacegroup="Pmmm, No. 47" delta_e_f_ev_per_atom=0.765 magnetic_moment_mub_per_fu=0.0 pbc="T T T"
W 1.5989 2.3442 0.0000
W 0.0000 0.0000 0.0000
Ca 1.5989 0.0000 2.5730
Cd 0.0000 2.3442 2.5730